Entry 1:
The following is a DFT calculation (SCAN) of a PBEsol-optimized structure of NdNi2.

Unit cell a=7.1814 b=7.1814 c=7.1814 alpha=90.00 beta=90.00 gamma=90.00
Space group Fd-3m (No. 227, origin choice 2)
Symmetry-distinct sites (fractional):
Nd (0.1250, 0.1250, 0.1250) [8 per cell]
Ni (0.0000, 0.0000, 0.5000) [16 per cell]

Properties
Its formation enthalpy at 0 K is -0.29 eV/atom. The volume comes out at 15.4 Å³ per atom. For the total DFT energy (no corrections), the calculation gives -614.5 eV/cell.

---

Entry 2:
The following is a DFT calculation (SCAN) of a PBEsol-optimized structure of NdNi5.

Unit cell a=4.8739 b=4.8739 c=3.9061 alpha=90.00 beta=90.00 gamma=120.00
Space group P6/mmm (No. 191)
Symmetry-distinct sites (fractional):
Nd (0.0000, 0.0000, 0.0000) [1 per cell]
Ni (0.0000, 0.5000, 0.5000) [3 per cell]
Ni (0.3333, 0.6667, 0.0000) [2 per cell]

Properties
Its formation enthalpy at 0 K is -0.26 eV/atom. The volume comes out at 13.4 Å³ per atom. For the total DFT energy (no corrections), the calculation gives -126.0 eV/cell.

---

Entry 3:
The following is a DFT calculation (SCAN) of a PBEsol-optimized structure of Nd4Ni3O10.

Unit cell a=13.7653 b=5.4117 c=5.2806 alpha=90.00 beta=100.36 gamma=90.00
Space group P2_1/c (No. 14)
Symmetry-distinct sites (fractional):
Nd (0.1028, 0.0147, 0.2988) [4 per cell]
Nd (0.3633, 0.0013, 0.4044) [4 per cell]
Ni (0.2194, 0.5032, 0.3536) [4 per cell]
Ni (0.5000, 0.0000, 0.0000) [2 per cell]
O (0.0673, 0.0444, 0.7808) [4 per cell]
O (0.2037, 0.7495, 0.0958) [4 per cell]
O (0.2335, 0.2502, 0.1100) [4 per cell]
O (0.3586, 0.5612, 0.4288) [4 per cell]
O (0.4823, 0.2135, 0.7033) [4 per cell]

Properties
The volume comes out at 11.4 Å³ per atom. The value obtained for the formation energy from raw total energies is -46.4 eV per formula unit. For the total DFT energy (no corrections), the calculation gives -663.2 eV/cell.

---

Q: The highest total DFT energy (no corrections) belongs to which entry?
A: NdNi5